Sr4Ca3Ac2 | PBE-GGA | optimized geometry

## Properties
Its space group is P3m1. The volume comes out at 431.5 Å³ per cell. The value obtained for the formation energy is 0.066 eV per atom.

Cell lengths 4.0327, 4.0327, 30.6397 Å; angles 90.00, 90.00, 120.00 degrees
Atoms (fractional coordinates):
Ac1 0.6667 0.3333 0.8781
Sr1 0.6667 0.3333 0.4312
Ca1 0.6667 0.3333 0.6572
Sr2 0.0000 0.0000 0.5474
Sr3 0.6667 0.3333 0.2108
Ac2 0.6667 0.3333 0.0838
Ca2 0.0000 0.0000 0.9810
Ca3 0.0000 0.0000 0.3206
Sr4 0.0000 0.0000 0.7670